Entry from Alexandria: a geometry-optimized KRbFe2O structure (PBE+U).

Structure (extended XYZ):
```
5
Lattice="5.859 0.000 0.000 0.000 5.859 0.000 0.000 0.000 8.373" Properties=species:S:1:pos:R:3 pbc="T T T"
K 0.000 0.000 0.000
Rb 0.000 0.000 4.186
Fe 0.000 2.930 4.186
Fe 2.930 0.000 4.186
O 2.930 2.930 0.000
```

The total magnetization comes out at 3.9 μB/f.u. The calculation puts the total energy at -1.528 eV per atom. The density of states at the Fermi level comes out at 2.50 states/eV/cell.